[1]
# Zr2Zn3Au4 | Alexandria via LeMat-Bulk | PBE | optimized geometry
data_Zr2Zn3Au4
_cell_length_a 4.5644
_cell_length_b 4.7581
_cell_length_c 8.6259
_cell_angle_alpha 81.93
_cell_angle_beta 89.88
_cell_angle_gamma 61.36
_space_group_name_H-M_alt 'P 1'
_space_group_IT_number 1
loop_
_space_group_symop_operation_xyz
'x,y,z'
loop_
_atom_site_label
_atom_site_type_symbol
_atom_site_fract_x
_atom_site_fract_y
_atom_site_fract_z
Zr1 Zr 0.3035 0.3942 0.7581
Zr2 Zr 0.6965 0.6058 0.2419
Zn1 Zn 0.3716 0.2546 0.4073
Zn2 Zn 0.0000 0.0000 0.0000
Zn3 Zn 0.6284 0.7454 0.5927
Au1 Au 0.6533 0.6942 0.9106
Au2 Au 0.0509 0.8960 0.3526
Au3 Au 0.9491 0.1040 0.6474
Au4 Au 0.3467 0.3058 0.0894
# DFT formation energy = -0.362 eV per atom
# D(E_F) = 3.88 states/eV/cell

=====

[2]
# ZrZn6Au6 | Alexandria via LeMat-Bulk | PBE | optimized geometry
data_ZrZn6Au6
_cell_length_a 5.2128
_cell_length_b 6.9822
_cell_length_c 6.9822
_cell_angle_alpha 80.78
_cell_angle_beta 68.08
_cell_angle_gamma 68.08
_space_group_name_H-M_alt 'P 1'
_space_group_IT_number 1
loop_
_space_group_symop_operation_xyz
'x,y,z'
loop_
_atom_site_label
_atom_site_type_symbol
_atom_site_fract_x
_atom_site_fract_y
_atom_site_fract_z
Zr1 Zr 0.0000 0.0000 0.0000
Zn1 Zn 0.0000 0.5000 0.0000
Zn2 Zn 0.5000 0.5000 0.0000
Zn3 Zn 0.0000 0.0000 0.5000
Zn4 Zn 0.5000 0.0000 0.5000
Zn5 Zn 0.5000 0.7535 0.2465
Zn6 Zn 0.5000 0.2465 0.7535
Au1 Au 0.3332 0.6668 0.6668
Au2 Au 0.6668 0.3332 0.3332
Au3 Au 0.0000 0.3339 0.6661
Au4 Au 0.0000 0.6661 0.3339
Au5 Au 0.3348 0.1652 0.1652
Au6 Au 0.6652 0.8348 0.8348
# DFT formation energy = -0.258 eV per atom
# D(E_F) = 4.42 states/eV/cell

=====

[3]
# Zr2ZnAu | Alexandria via LeMat-Bulk | PBE | optimized geometry
data_Zr2ZnAu
_cell_length_a 3.4712
_cell_length_b 3.4712
_cell_length_c 6.5349
_cell_angle_alpha 90.00
_cell_angle_beta 90.00
_cell_angle_gamma 90.00
_space_group_name_H-M_alt 'P 1'
_space_group_IT_number 1
loop_
_space_group_symop_operation_xyz
'x,y,z'
loop_
_atom_site_label
_atom_site_type_symbol
_atom_site_fract_x
_atom_site_fract_y
_atom_site_fract_z
Zn1 Zn 0.5000 0.5000 0.7362
Au1 Au 0.0000 0.0000 0.5168
Zr1 Zr 0.0000 0.0000 0.9759
Zr2 Zr 0.5000 0.5000 0.2712
# DFT formation energy = -0.343 eV per atom
# D(E_F) = 1.12 states/eV/cell

=====

[4]
# ZrZnAu2 | Alexandria via LeMat-Bulk | PBE | optimized geometry
data_ZrZnAu2
_cell_length_a 7.3555
_cell_length_b 4.4732
_cell_length_c 3.7349
_cell_angle_alpha 89.97
_cell_angle_beta 59.53
_cell_angle_gamma 127.62
_space_group_name_H-M_alt 'P 1'
_space_group_IT_number 1
loop_
_space_group_symop_operation_xyz
'x,y,z'
loop_
_atom_site_label
_atom_site_type_symbol
_atom_site_fract_x
_atom_site_fract_y
_atom_site_fract_z
Au1 Au 0.0000 0.0000 0.0000
Au2 Au 0.5000 0.0000 0.5000
Zn1 Zn 0.0000 0.5000 0.5000
Zr1 Zr 0.5000 0.5000 0.0000
# DFT formation energy = -0.299 eV per atom
# D(E_F) = 2.48 states/eV/cell

=====

[5]
# Zr7Zn2Au2 | Alexandria via LeMat-Bulk | PBE | optimized geometry
data_Zr7Zn2Au2
_cell_length_a 6.0143
_cell_length_b 7.3415
_cell_length_c 6.0168
_cell_angle_alpha 89.98
_cell_angle_beta 110.64
_cell_angle_gamma 90.02
_space_group_name_H-M_alt 'P 1'
_space_group_IT_number 1
loop_
_space_group_symop_operation_xyz
'x,y,z'
loop_
_atom_site_label
_atom_site_type_symbol
_atom_site_fract_x
_atom_site_fract_y
_atom_site_fract_z
Zr1 Zr 0.0001 0.2816 0.5002
Zr2 Zr 0.5002 0.7183 0.0001
Zr3 Zr 0.9999 0.7184 0.4998
Zr4 Zr 0.4998 0.2817 0.9999
Zr5 Zr 0.0000 0.0000 0.0000
Zr6 Zr 0.5000 0.7452 0.5000
Zr7 Zr 0.5000 0.2548 0.5000
Zn1 Zn 0.7082 0.0001 0.2918
Zn2 Zn 0.2918 0.9999 0.7082
Au1 Au 0.8088 0.5000 0.8087
Au2 Au 0.1912 0.5000 0.1913
# DFT formation energy = 0.097 eV per atom
# D(E_F) = 14.50 states/eV/cell

=====

[6]
# ZrZn5Au2 | Alexandria via LeMat-Bulk | PBE | optimized geometry
data_ZrZn5Au2
_cell_length_a 5.0407
_cell_length_b 5.0407
_cell_length_c 6.3320
_cell_angle_alpha 104.63
_cell_angle_beta 104.63
_cell_angle_gamma 111.44
_space_group_name_H-M_alt 'P 1'
_space_group_IT_number 1
loop_
_space_group_symop_operation_xyz
'x,y,z'
loop_
_atom_site_label
_atom_site_type_symbol
_atom_site_fract_x
_atom_site_fract_y
_atom_site_fract_z
Zr1 Zr 0.5000 0.5000 0.0000
Zn1 Zn 0.1267 0.6267 0.2535
Zn2 Zn 0.6267 0.1267 0.2535
Zn3 Zn 0.3733 0.8733 0.7465
Zn4 Zn 0.8733 0.3733 0.7465
Zn5 Zn 0.0000 0.0000 0.0000
Au1 Au 0.2440 0.2440 0.4881
Au2 Au 0.7560 0.7560 0.5119
# DFT formation energy = -0.161 eV per atom
# D(E_F) = 2.69 states/eV/cell

=====

[7]
# Zr2ZnAu | Alexandria via LeMat-Bulk | PBE | optimized geometry
data_Zr2ZnAu
_cell_length_a 4.4392
_cell_length_b 4.4392
_cell_length_c 5.5793
_cell_angle_alpha 90.02
_cell_angle_beta 113.41
_cell_angle_gamma 120.01
_space_group_name_H-M_alt 'P 1'
_space_group_IT_number 1
loop_
_space_group_symop_operation_xyz
'x,y,z'
loop_
_atom_site_label
_atom_site_type_symbol
_atom_site_fract_x
_atom_site_fract_y
_atom_site_fract_z
Zr1 Zr 0.1751 0.8376 0.0127
Zr2 Zr 0.5751 0.0375 0.6126
Zn1 Zn 0.7530 0.6265 0.3795
Au1 Au 0.9968 0.2484 0.2452
# DFT formation energy = -0.110 eV per atom
# D(E_F) = 3.89 states/eV/cell

=====

[8]
# ZrZn4Au | Alexandria via LeMat-Bulk | PBE | optimized geometry
data_ZrZn4Au
_cell_length_a 5.1816
_cell_length_b 5.1816
_cell_length_c 5.1816
_cell_angle_alpha 60.00
_cell_angle_beta 60.00
_cell_angle_gamma 60.00
_space_group_name_H-M_alt 'P 1'
_space_group_IT_number 1
loop_
_space_group_symop_operation_xyz
'x,y,z'
loop_
_atom_site_label
_atom_site_type_symbol
_atom_site_fract_x
_atom_site_fract_y
_atom_site_fract_z
Zr1 Zr 0.7500 0.7500 0.7500
Zn1 Zn 0.8726 0.3758 0.3758
Zn2 Zn 0.3758 0.3758 0.8726
Zn3 Zn 0.3758 0.8726 0.3758
Zn4 Zn 0.3758 0.3758 0.3758
Au1 Au 0.0000 0.0000 0.0000
# DFT formation energy = -0.096 eV per atom
# D(E_F) = 5.70 states/eV/cell

=====

[9]
# ZrZnAu2 | Alexandria via LeMat-Bulk | PBE | optimized geometry
data_ZrZnAu2
_cell_length_a 7.4945
_cell_length_b 7.4945
_cell_length_c 5.9986
_cell_angle_alpha 51.34
_cell_angle_beta 51.34
_cell_angle_gamma 90.00
_space_group_name_H-M_alt 'P 1'
_space_group_IT_number 1
loop_
_space_group_symop_operation_xyz
'x,y,z'
loop_
_atom_site_label
_atom_site_type_symbol
_atom_site_fract_x
_atom_site_fract_y
_atom_site_fract_z
Zn1 Zn 0.5000 0.5000 0.0000
Zn2 Zn 0.2500 0.7500 0.5000
Au1 Au 0.5961 0.1250 0.2500
Au2 Au 0.1539 0.6250 0.2500
Au3 Au 0.3750 0.4039 0.7500
Au4 Au 0.8750 0.8461 0.7500
Zr1 Zr 0.0000 0.0000 0.0000
Zr2 Zr 0.7500 0.2500 0.5000
# DFT formation energy = -0.083 eV per atom
# D(E_F) = 8.71 states/eV/cell

=====

[10]
# Zr2ZnAu | Alexandria via LeMat-Bulk | PBE | optimized geometry
data_Zr2ZnAu
_cell_length_a 3.1285
_cell_length_b 5.1870
_cell_length_c 6.0921
_cell_angle_alpha 53.77
_cell_angle_beta 90.00
_cell_angle_gamma 90.00
_space_group_name_H-M_alt 'P 1'
_space_group_IT_number 1
loop_
_space_group_symop_operation_xyz
'x,y,z'
loop_
_atom_site_label
_atom_site_type_symbol
_atom_site_fract_x
_atom_site_fract_y
_atom_site_fract_z
Au1 Au 0.5000 0.5000 0.5000
Zn1 Zn 0.0000 0.0000 0.5000
Zr1 Zr 0.0000 0.0000 0.0000
Zr2 Zr 0.5000 0.5000 0.0000
# DFT formation energy = -0.140 eV per atom
# D(E_F) = 4.32 states/eV/cell

=====

[11]
# Zr2Zn3Au3 | Alexandria via LeMat-Bulk | PBE | optimized geometry
data_Zr2Zn3Au3
_cell_length_a 4.6534
_cell_length_b 4.6534
_cell_length_c 8.0877
_cell_angle_alpha 73.28
_cell_angle_beta 73.28
_cell_angle_gamma 60.00
_space_group_name_H-M_alt 'P 1'
_space_group_IT_number 1
loop_
_space_group_symop_operation_xyz
'x,y,z'
loop_
_atom_site_label
_atom_site_type_symbol
_atom_site_fract_x
_atom_site_fract_y
_atom_site_fract_z
Zr1 Zr 0.0001 0.0001 0.9998
Zr2 Zr 0.5003 0.5003 0.4991
Zn1 Zn 0.2507 0.2507 0.2480
Zn2 Zn 0.7485 0.7485 0.7544
Zn3 Zn 0.6248 0.6248 0.1255
Au1 Au 0.1249 0.1249 0.6253
Au2 Au 0.8781 0.8781 0.3656
Au3 Au 0.3725 0.3725 0.8824
# DFT formation energy = -0.401 eV per atom
# D(E_F) = 2.50 states/eV/cell

=====

[12]
# ZrZnAu2 | Alexandria via LeMat-Bulk | PBE | optimized geometry
data_ZrZnAu2
_cell_length_a 4.7051
_cell_length_b 4.7051
_cell_length_c 5.7977
_cell_angle_alpha 81.59
_cell_angle_beta 81.59
_cell_angle_gamma 36.07
_space_group_name_H-M_alt 'P 1'
_space_group_IT_number 1
loop_
_space_group_symop_operation_xyz
'x,y,z'
loop_
_atom_site_label
_atom_site_type_symbol
_atom_site_fract_x
_atom_site_fract_y
_atom_site_fract_z
Au1 Au 0.0067 0.0067 0.9818
Au2 Au 0.4933 0.4933 0.5182
Zn1 Zn 0.7500 0.7500 0.7500
Zr1 Zr 0.2500 0.2500 0.2500
# DFT formation energy = -0.256 eV per atom
# D(E_F) = 2.29 states/eV/cell